! ZrUTe (PBE-GGA, relaxed); values from VASP
&SYSTEM
  ibrav = 0, nat = 3, ntyp = 3
/
ATOMIC_SPECIES
Zr 91.22 Zr.upf
Te 127.60 Te.upf
U 238.03 U.upf
ATOMIC_POSITIONS crystal
Zr 0.7500 0.7500 0.7500
Te 0.2500 0.2500 0.2500
U 0.0000 0.0000 0.0000
CELL_PARAMETERS angstrom
-3.1705 -2.8418 2.6750
-4.2042 2.0150 1.8836
-4.4726 -1.2645 -1.9185
! Relative energy among the computed polymorphs ... 0.5049 eV per atom
! Total magnetization ... 1.563 μB/atom
! Total DFT energy (no corrections) ... -6.88 eV per atom

=====

! LuHf2Ga (PBE-GGA, relaxed); values from VASP
&SYSTEM
  ibrav = 0, nat = 4, ntyp = 3
/
ATOMIC_SPECIES
Hf 178.49 Hf.upf
Lu 174.97 Lu.upf
Ga 69.72 Ga.upf
ATOMIC_POSITIONS crystal
Hf 0.7500 0.7500 0.7500
Lu 0.2500 0.2500 0.2500
Hf 0.0000 0.0000 0.0000
Ga 0.5000 0.5000 0.5000
CELL_PARAMETERS angstrom
0.0000 3.4948 3.4948
3.4948 0.0000 3.4948
3.4948 3.4948 0.0000
! Total magnetization ... 0.469 μB/atom
! Total DFT energy (no corrections) ... -6.83 eV per atom

=====

! Li5CdO4 (PBE-GGA, relaxed); values from VASP
&SYSTEM
  ibrav = 0, nat = 10, ntyp = 3
/
ATOMIC_SPECIES
Li 6.94 Li.upf
O 16.00 O.upf
Cd 112.41 Cd.upf
ATOMIC_POSITIONS crystal
Li 0.6507 0.5000 0.3407
Li 0.6256 0.0000 0.8243
O 0.7387 0.5000 0.6752
O 0.2613 0.5000 0.3248
O 0.2505 0.0000 0.8204
Li 0.3744 0.0000 0.1757
Li 0.0000 0.0000 0.5000
Li 0.3493 0.5000 0.6593
Cd 0.0000 0.5000 0.0000
O 0.7495 0.0000 0.1796
CELL_PARAMETERS angstrom
5.1945 0.0000 0.0000
0.0000 3.2634 0.0000
-0.1961 0.0000 5.4541
! Total DFT energy (no corrections) ... -4.53 eV per atom

=====

! NdPa3N (PBE-GGA, relaxed); values from VASP
&SYSTEM
  ibrav = 0, nat = 5, ntyp = 3
/
ATOMIC_SPECIES
Pa 231.04 Pa.upf
N 14.01 N.upf
Nd 144.24 Nd.upf
ATOMIC_POSITIONS crystal
Pa 0.5000 0.5000 0.0000
Pa 0.0000 0.5000 0.5000
N 0.5000 0.5000 0.5000
Pa 0.5000 0.0000 0.5000
Nd 0.0000 0.0000 0.0000
CELL_PARAMETERS angstrom
-2.2209 -4.2668 -0.6051
3.8604 -2.2723 1.8541
-1.9154 0.3676 4.4385
! Total magnetization ... 0.003 μB/atom
! Total DFT energy (no corrections) ... -8.75 eV per atom